Here is K2CaAs after structural relaxation from Alexandria via LeMat-Bulk. Energies are from PBE.

Structure (extended XYZ):
```
8
Lattice="-2.348 2.348 12.779 2.348 -2.348 12.779 2.348 2.348 -12.779" Properties=species:S:1:pos:R:3 pbc="T T T"
K 3.522 1.019 -3.195
K 1.019 1.174 3.195
K -1.174 1.329 9.584
K 1.329 1.174 15.974
Ca 2.348 0.000 6.390
Ca 0.000 0.000 12.779
As 0.000 0.000 0.000
As 0.000 2.348 6.390
```

Computed properties:
D(E_F): 0.610 states/eV/atom
Symmetry: I-42d, No. 122
E_form: -0.09 eV/atom
Mass density: 2.277 Mg/m³